1.
The following is a DFT calculation (GGA-PBE) of a relaxed CaSc2Be crystal. Values from VASP.

Structure (Quantum ESPRESSO input):
```
&SYSTEM
  ibrav = 0, nat = 4, ntyp = 3
/
ATOMIC_SPECIES
Ca 40.08 Ca.upf
Sc 44.96 Sc.upf
Be 9.01 Be.upf
ATOMIC_POSITIONS crystal
Ca 0.000 0.000 0.000
Sc 0.000 0.000 0.606
Sc 0.500 0.500 0.346
Be 0.500 0.500 0.763
CELL_PARAMETERS angstrom
3.352 0.000 0.000
0.000 3.352 0.000
0.000 0.000 8.378
```

Calculated values
- N(E_F): 1.208 states/eV per atom
- ΔE_f: 0.68 eV per formula unit
- Total magnetic moment: 0.31 μB per atom
- Total DFT energy (no corrections): -17.7 eV per formula unit

***

2.
The following is a DFT calculation (GGA-PBE) of a relaxed CaSc2Be crystal. Values from VASP.

Structure (Quantum ESPRESSO input):
```
&SYSTEM
  ibrav = 0, nat = 4, ntyp = 3
/
ATOMIC_SPECIES
Ca 40.08 Ca.upf
Sc 44.96 Sc.upf
Be 9.01 Be.upf
ATOMIC_POSITIONS crystal
Ca 0.000 0.000 0.000
Sc 0.000 0.500 0.500
Sc 0.500 0.000 0.500
Be 0.500 0.500 0.000
CELL_PARAMETERS angstrom
4.487 0.000 0.000
0.000 4.497 0.000
0.000 0.000 4.505
```

Calculated values
- N(E_F): 1.315 states/eV per atom
- ΔE_f: 1.44 eV per formula unit
- Total magnetic moment: 0.00 μB per atom
- Total DFT energy (no corrections): -16.9 eV per formula unit